! Mg8CdPb2 PBE-GGA optimized geometry; values from VASP
&SYSTEM
  ibrav = 0, nat = 11, ntyp = 3
/
ATOMIC_SPECIES
Mg 24.30 Mg.upf
Cd 112.41 Cd.upf
Pb 207.20 Pb.upf
CELL_PARAMETERS angstrom
-2.3226 4.1361 7.0231
2.3226 -4.1361 7.0231
2.3226 4.1361 -7.0231
ATOMIC_POSITIONS crystal
Mg 0.0983 0.3413 0.7570
Mg 0.1591 0.1591 0.0000
Mg 0.2644 0.0000 0.2644
Mg 0.4157 0.6587 0.7570
Mg 0.5843 0.3413 0.2430
Mg 0.7356 0.0000 0.7356
Mg 0.8409 0.8409 0.0000
Mg 0.9017 0.6587 0.2430
Cd 0.0000 0.5000 0.5000
Pb 0.3273 0.8273 0.5000
Pb 0.6727 0.1727 0.5000
! Calculated density (g/cm³): 4.44
! DOS(E_F) (states/eV per cell): 2.9
! Formation energy (meV/atom): -23
! Distance to the lowest polymorph of the same formula (kJ per mole of atoms): 2.2
! Total DFT energy (no corrections) (eV for the cell shown): -21.340
! Space group: Immm (71)


! Mg5Cd2Pb4 PBE-GGA optimized geometry; values from VASP
&SYSTEM
  ibrav = 0, nat = 22, ntyp = 3
/
ATOMIC_SPECIES
Mg 24.30 Mg.upf
Cd 112.41 Cd.upf
Pb 207.20 Pb.upf
CELL_PARAMETERS angstrom
7.6645 0.0000 0.0000
0.0000 20.6854 0.0000
0.0000 0.0000 3.5865
ATOMIC_POSITIONS crystal
Mg 0.0000 0.0000 0.0000
Mg 0.1474 0.4082 0.0000
Mg 0.1966 0.2532 0.0000
Mg 0.3034 0.7532 0.0000
Mg 0.3526 0.9082 0.0000
Mg 0.5000 0.5000 0.0000
Mg 0.6474 0.0918 0.0000
Mg 0.6966 0.2468 0.0000
Mg 0.8034 0.7468 0.0000
Mg 0.8526 0.5918 0.0000
Cd 0.0619 0.6818 0.5000
Cd 0.4381 0.1818 0.5000
Cd 0.5619 0.8182 0.5000
Cd 0.9381 0.3182 0.5000
Pb 0.0283 0.8527 0.5000
Pb 0.1901 0.5392 0.5000
Pb 0.3099 0.0392 0.5000
Pb 0.4717 0.3527 0.5000
Pb 0.5283 0.6473 0.5000
Pb 0.6901 0.9608 0.5000
Pb 0.8099 0.4608 0.5000
Pb 0.9717 0.1473 0.5000
! Calculated density (g/cm³): 6.86
! DOS(E_F) (states/eV per cell): 7.7
! Formation energy (meV/atom): -28
! Total DFT energy (no corrections) (eV for the cell shown): -49.897
! Space group: Pbam (55)


! Mg2CdPb PBE-GGA optimized geometry; values from VASP
&SYSTEM
  ibrav = 0, nat = 4, ntyp = 3
/
ATOMIC_SPECIES
Mg 24.30 Mg.upf
Cd 112.41 Cd.upf
Pb 207.20 Pb.upf
CELL_PARAMETERS angstrom
1.8042 -2.7907 0.0000
1.8042 2.7907 0.0000
0.0000 0.0000 10.1539
ATOMIC_POSITIONS crystal
Mg 0.0000 0.0000 0.0000
Mg 0.5000 0.5000 0.2424
Cd 0.5000 0.5000 0.7685
Pb 0.0000 0.0000 0.5016
! Calculated density (g/cm³): 5.98
! DOS(E_F) (states/eV per cell): 1.8
! Formation energy (meV/atom): 47
! Total DFT energy (no corrections) (eV for the cell shown): -7.624
! Space group: Cmm2 (35)


! Mg7Cd3Pb PBE-GGA optimized geometry; values from VASP
&SYSTEM
  ibrav = 0, nat = 11, ntyp = 3
/
ATOMIC_SPECIES
Mg 24.30 Mg.upf
Cd 112.41 Cd.upf
Pb 207.20 Pb.upf
CELL_PARAMETERS angstrom
5.3127 -5.3380 0.0000
5.3127 5.3380 0.0000
-2.8283 0.0000 4.7204
ATOMIC_POSITIONS crystal
Mg 0.0000 0.0000 0.0000
Mg 0.1014 0.5418 0.3203
Mg 0.3206 0.3206 0.8252
Mg 0.4582 0.8986 0.6797
Mg 0.5418 0.1014 0.3203
Mg 0.6794 0.6794 0.1748
Mg 0.8986 0.4582 0.6797
Cd 0.2729 0.7271 0.0000
Cd 0.5000 0.5000 0.5000
Cd 0.7271 0.2729 0.0000
Pb 0.0000 0.0000 0.5000
! Calculated density (g/cm³): 4.43
! DOS(E_F) (states/eV per cell): 2.5
! Formation energy (meV/atom): 12
! Total DFT energy (no corrections) (eV for the cell shown): -17.487
! Space group: C2/m (12)


! Mg8Cd2Pb3 PBE-GGA optimized geometry; values from VASP
&SYSTEM
  ibrav = 0, nat = 13, ntyp = 3
/
ATOMIC_SPECIES
Mg 24.30 Mg.upf
Cd 112.41 Cd.upf
Pb 207.20 Pb.upf
CELL_PARAMETERS angstrom
5.3256 -2.9719 0.0000
5.3256 2.9719 0.0000
-4.8900 0.0000 10.5498
ATOMIC_POSITIONS crystal
Mg 0.2273 0.2273 0.7951
Mg 0.2336 0.7369 0.8125
Mg 0.2631 0.7664 0.1875
Mg 0.3732 0.3732 0.3568
Mg 0.6268 0.6268 0.6432
Mg 0.7369 0.2336 0.8125
Mg 0.7664 0.2631 0.1875
Mg 0.7727 0.7727 0.2049
Cd 0.3129 0.3129 0.5722
Cd 0.6871 0.6871 0.4278
Pb 0.0000 0.0000 0.5000
Pb 0.2073 0.2073 0.0713
Pb 0.7927 0.7927 0.9287
! Calculated density (g/cm³): 5.18
! DOS(E_F) (states/eV per cell): 5.2
! Formation energy (meV/atom): 31
! Distance to the lowest polymorph of the same formula (kJ per mole of atoms): 0.0
! Total DFT energy (no corrections) (eV for the cell shown): -25.308
! Space group: C2/m (12)


! Mg5CdPb PBE-GGA optimized geometry; values from VASP
&SYSTEM
  ibrav = 0, nat = 7, ntyp = 3
/
ATOMIC_SPECIES
Mg 24.30 Mg.upf
Cd 112.41 Cd.upf
Pb 207.20 Pb.upf
CELL_PARAMETERS angstrom
4.7366 0.0000 0.0000
0.0000 4.7366 0.0000
0.0000 0.0000 7.7774
ATOMIC_POSITIONS crystal
Mg 0.0000 0.0000 0.0000
Mg 0.0000 0.5000 0.2858
Mg 0.0000 0.5000 0.7142
Mg 0.5000 0.0000 0.2858
Mg 0.5000 0.0000 0.7142
Cd 0.5000 0.5000 0.5000
Pb 0.5000 0.5000 0.0000
! Calculated density (g/cm³): 4.20
! DOS(E_F) (states/eV per cell): 3.5
! Formation energy (meV/atom): 5
! Distance to the lowest polymorph of the same formula (kJ per mole of atoms): 0.0
! Total DFT energy (no corrections) (eV for the cell shown): -12.565
! Space group: P4/mmm (123)


! Mg2CdPb PBE-GGA optimized geometry; values from VASP
&SYSTEM
  ibrav = 0, nat = 4, ntyp = 3
/
ATOMIC_SPECIES
Mg 24.30 Mg.upf
Cd 112.41 Cd.upf
Pb 207.20 Pb.upf
CELL_PARAMETERS angstrom
3.3251 0.0000 0.0000
0.0000 4.0109 0.0000
-0.0403 0.0000 7.2264
ATOMIC_POSITIONS crystal
Mg 0.0028 0.0000 0.2279
Mg 0.9972 0.0000 0.7721
Cd 0.5000 0.5000 0.0000
Pb 0.5000 0.5000 0.5000
! Calculated density (g/cm³): 6.34
! DOS(E_F) (states/eV per cell): 1.4
! Formation energy (meV/atom): -61
! Total DFT energy (no corrections) (eV for the cell shown): -8.055
! Space group: P2/m (10)


! Mg6Cd8Pb PBE-GGA optimized geometry; values from VASP
&SYSTEM
  ibrav = 0, nat = 15, ntyp = 3
/
ATOMIC_SPECIES
Mg 24.30 Mg.upf
Cd 112.41 Cd.upf
Pb 207.20 Pb.upf
CELL_PARAMETERS angstrom
2.8548 1.6482 12.1632
-2.8548 1.6482 12.1632
0.0000 -3.2964 12.1632
ATOMIC_POSITIONS crystal
Mg 0.0884 0.7766 0.4343
Mg 0.2234 0.5657 0.9116
Mg 0.4343 0.0884 0.7766
Mg 0.5657 0.9116 0.2234
Mg 0.7766 0.4343 0.0884
Mg 0.9116 0.2234 0.5657
Cd 0.0393 0.3664 0.6965
Cd 0.1668 0.1668 0.1668
Cd 0.3035 0.9607 0.6336
Cd 0.3664 0.6965 0.0393
Cd 0.6336 0.3035 0.9607
Cd 0.6965 0.0393 0.3664
Cd 0.8332 0.8332 0.8332
Cd 0.9607 0.6336 0.3035
Pb 0.5000 0.5000 0.5000
! Calculated density (g/cm³): 6.06
! DOS(E_F) (states/eV per cell): 5.5
! Formation energy (meV/atom): -46
! Total DFT energy (no corrections) (eV for the cell shown): -21.289
! Space group: R-3 (148)


DOS(E_F) of number 4 (Mg7Cd3Pb)? 2.5 states/eV per cell